(1)
CdPtSe2Cl | GGA-PBEsol | relaxed Values from VASP.

Output
formation energy (no corrections): 12.5 kJ/mol of atoms
space group: No. 123
DOS at the Fermi energy: 4.879 states/eV per cell
DFT total energy: -17.22 eV per cell
total moment: 0.00 μB per cell

Cell and atoms, written as Quantum ESPRESSO input:
```
&SYSTEM
  ibrav = 0, nat = 5, ntyp = 4
/
ATOMIC_SPECIES
Cl 35.45 Cl.upf
Se 78.96 Se.upf
Pt 195.08 Pt.upf
Cd 112.41 Cd.upf
ATOMIC_POSITIONS angstrom
Cl 2.3533 0.0000 0.0000
Se 0.0000 0.0000 2.4763
Se 0.0000 2.4763 0.0000
Pt 0.0000 0.0000 0.0000
Cd 2.3533 2.4763 2.4763
CELL_PARAMETERS angstrom
4.7066 0.0000 0.0000
0.0000 4.9527 0.0000
0.0000 0.0000 4.9527
```

(2)
AlCrRh2 | GGA-PBEsol | relaxed Values from VASP.

Output
space group: No. 8
DOS at the Fermi energy: 3.468 states/eV per cell
DFT total energy: -32.23 eV per cell
total moment: 1.76 μB per cell
formation enthalpy at 0 K: -0.404 eV per atom

Cell and atoms, written as Quantum ESPRESSO input:
```
&SYSTEM
  ibrav = 0, nat = 4, ntyp = 3
/
ATOMIC_SPECIES
Cr 52.00 Cr.upf
Rh 102.91 Rh.upf
Al 26.98 Al.upf
ATOMIC_POSITIONS angstrom
Cr -2.3784 -0.9795 -0.1121
Rh 0.0055 -0.2392 0.0973
Rh -1.1544 -2.5009 1.5956
Al -3.4301 -1.6266 2.3179
CELL_PARAMETERS angstrom
-1.1291 -0.9866 -2.3633
1.2039 -4.0497 1.1154
-3.5348 1.1041 2.8853
```

(3)
Li2TcPt | GGA-PBEsol | relaxed Values from VASP.

Output
space group: No. 8
DOS at the Fermi energy: 2.538 states/eV per cell
DFT total energy: -22.31 eV per cell
total moment: 0.00 μB per cell
formation enthalpy at 0 K: -0.036 eV per atom

Cell and atoms, written as Quantum ESPRESSO input:
```
&SYSTEM
  ibrav = 0, nat = 4, ntyp = 3
/
ATOMIC_SPECIES
Li 6.94 Li.upf
Pt 195.08 Pt.upf
Tc 98.00 Tc.upf
ATOMIC_POSITIONS angstrom
Li -0.1597 -0.0114 0.0800
Li -1.3389 -2.1809 -1.0608
Pt -1.9507 -4.4328 0.4570
Tc -2.8369 -2.2268 1.1759
CELL_PARAMETERS angstrom
-1.1827 0.2812 -2.3208
0.9897 -4.5237 0.4263
-4.3277 -0.1509 2.1872
```

(4)
Li9Mn2Co5O16 | GGA-PBEsol | relaxed Values from VASP.

Output
formation energy (no corrections): -159.8 kJ/mol of atoms
space group: No. 6
DOS at the Fermi energy: 6.339 states/eV per cell
DFT total energy: -212.91 eV per cell
total moment: 6.06 μB per cell

Cell and atoms, written as Quantum ESPRESSO input:
```
&SYSTEM
  ibrav = 0, nat = 32, ntyp = 4
/
ATOMIC_SPECIES
Li 6.94 Li.upf
Mn 54.94 Mn.upf
Co 58.93 Co.upf
O 16.00 O.upf
ATOMIC_POSITIONS angstrom
Li -0.4906 -9.4040 -3.7126
Li 3.7352 -7.4282 -4.2495
Li -5.0311 -4.8104 0.0270
Li -0.6459 -2.7502 -0.5276
Li -3.7912 -6.1874 -2.1078
Li 0.6529 -4.1147 -2.6737
Li -1.6382 -8.1491 -1.6307
Li 2.3646 -6.1554 -2.1088
Li 0.0423 -6.8492 -3.2061
Mn -2.4812 -10.9032 -2.1113
Mn -1.1887 -5.4829 -1.0761
Co 1.9085 -8.7602 -2.6465
Co 1.2523 -1.3342 -2.1272
Co -3.1626 -3.4620 -1.5821
Co 3.1616 -3.3365 -1.6008
Co -4.3996 -8.9166 -2.6394
O -2.5819 -9.3050 -3.1787
O 1.8993 -7.2383 -3.7551
O -7.0491 -4.6674 0.5540
O -2.6242 -2.5592 0.0016
O -5.8170 -6.0097 -1.5703
O -1.3668 -3.8440 -2.1145
O -3.9063 -8.0206 -1.0464
O 0.5185 -5.6770 -1.5401
O -4.9204 -3.0546 -1.0526
O -0.5691 -0.9399 -1.5855
O -3.0607 -5.0490 -0.5122
O 1.3878 -2.8873 -1.0570
O -1.8804 -6.3454 -2.6124
O 2.6702 -4.2467 -3.1978
O 0.1530 -8.5288 -2.1614
O 4.5695 -6.2584 -2.6713
CELL_PARAMETERS angstrom
-0.6471 0.6619 -2.6575
6.3475 -6.6588 -3.2040
-8.8355 -4.2569 1.0912
```